# 1
A plane-wave DFT calculation with PBE was carried out for a geometry-optimized Cs3FeOs structure.

Summary:
**Raw total energy**: -0.102 hartree per atom
**Calculated density**: 4.58 g/cm³
**Formation energy**: 1.69 eV/atom
**D(E_F)**: 10.80 states/eV/cell

a = 6.1619 Å, b = 6.1619 Å, c = 6.1619 Å
α = 90.00°, β = 90.00°, γ = 90.00°
Space group Pm-3m (No. 221)
Inequivalent atoms, fractional coordinates:
Cs1 0.0000 0.0000 0.5000
Fe1 0.5000 0.5000 0.5000
Os1 0.0000 0.0000 0.0000


# 2
A plane-wave DFT calculation with PBE was carried out for a geometry-optimized CsFeOs structure.

Summary:
**Raw total energy**: -0.226 hartree per atom
**ΔE to the lowest computed polymorph**: 0 meV per atom
**Calculated density**: 5.95 g/cm³
**Formation energy**: 0.70 eV/atom
**D(E_F)**: 5.16 states/eV/cell

a = 4.9119 Å, b = 4.1420 Å, c = 10.4054 Å
α = 90.00°, β = 90.26°, γ = 90.00°
Space group P2_1/m (No. 11)
Inequivalent atoms, fractional coordinates:
Cs1 0.2442 0.2500 0.2098
Fe1 0.1246 0.7500 0.4939
Os1 0.3747 0.2500 0.5421


# 3
A plane-wave DFT calculation with PBE was carried out for a geometry-optimized CsFe3Os structure.

Summary:
**Raw total energy**: -0.161 hartree per atom
**Calculated density**: 7.99 g/cm³
**Formation energy**: 3.12 eV/atom
**D(E_F)**: 4.76 states/eV/cell

a = 4.6725 Å, b = 4.6725 Å, c = 4.6725 Å
α = 90.00°, β = 90.00°, γ = 90.00°
Space group Pm-3m (No. 221)
Inequivalent atoms, fractional coordinates:
Cs1 0.0000 0.0000 0.0000
Fe1 0.0000 0.0000 0.5000
Os1 0.5000 0.5000 0.5000


# 4
A plane-wave DFT calculation with PBE was carried out for a geometry-optimized CsFeOs structure.

Summary:
**Raw total energy**: -0.225 hartree per atom
**ΔE to the lowest computed polymorph**: 28 meV per atom
**Calculated density**: 6.45 g/cm³
**Formation energy**: 0.73 eV/atom
**D(E_F)**: 5.44 states/eV/cell

a = 4.2887 Å, b = 4.1316 Å, c = 11.0215 Å
α = 90.00°, β = 91.38°, γ = 90.00°
Space group P2_1/m (No. 11)
Inequivalent atoms, fractional coordinates:
Cs1 0.2317 0.2500 0.2882
Fe1 0.3172 0.2500 0.9073
Os1 0.2120 0.7500 0.9992


# 5
A plane-wave DFT calculation with PBE was carried out for a geometry-optimized CsFeOs structure.

Summary:
**Raw total energy**: -0.225 hartree per atom
**ΔE to the lowest computed polymorph**: 37 meV per atom
**Calculated density**: 6.06 g/cm³
**Formation energy**: 0.73 eV/atom
**D(E_F)**: 5.83 states/eV/cell

a = 4.1722 Å, b = 4.6318 Å, c = 11.2491 Å
α = 92.62°, β = 93.41°, γ = 106.58°
Space group P-1 (No. 2)
Inequivalent atoms, fractional coordinates:
Cs1 0.2147 0.2920 0.2186
Fe1 0.1888 0.1625 0.5677
Os1 0.2845 0.6969 0.5091


# 6
A plane-wave DFT calculation with PBE was carried out for a geometry-optimized CsZrFeOs2 structure.

Summary:
**Raw total energy**: -0.229 hartree per atom
**Calculated density**: 10.50 g/cm³
**Formation energy**: 1.84 eV/atom
**D(E_F)**: 6.36 states/eV/cell

a = 4.5765 Å, b = 4.5765 Å, c = 4.9854 Å
α = 90.00°, β = 90.00°, γ = 90.00°
Space group P4/mmm (No. 123)
Inequivalent atoms, fractional coordinates:
Cs1 0.0000 0.0000 0.0000
Zr1 0.5000 0.5000 0.0000
Fe1 0.0000 0.0000 0.5000
Os1 0.0000 0.5000 0.5000


# 7
A plane-wave DFT calculation with PBE was carried out for a geometry-optimized CsFeP2 structure.

Summary:
**Raw total energy**: -0.193 hartree per atom
**ΔE to the lowest computed polymorph**: 0 meV per atom
**Calculated density**: 3.91 g/cm³
**Formation energy**: -0.22 eV/atom
**D(E_F)**: 11.42 states/eV/cell

a = 6.0874 Å, b = 6.0874 Å, c = 11.4919 Å
α = 90.00°, β = 90.00°, γ = 90.00°
Space group I4_1/amd (No. 141, origin choice 2)
Inequivalent atoms, fractional coordinates:
Cs1 0.0000 0.2500 0.3750
Fe1 0.0000 0.2500 0.8750
P1 0.0000 0.0000 0.0000


# 8
A plane-wave DFT calculation with PBE was carried out for a geometry-optimized CsFeP3 structure.

Summary:
**Raw total energy**: -0.094 hartree per atom
**ΔE to the lowest computed polymorph**: 2012 meV per atom
**Calculated density**: 3.11 g/cm³
**Formation energy**: 2.54 eV/atom
**D(E_F)**: 9.43 states/eV/cell

a = 5.3187 Å, b = 5.3187 Å, c = 5.3187 Å
α = 90.00°, β = 90.00°, γ = 90.00°
Space group Pm-3m (No. 221)
Inequivalent atoms, fractional coordinates:
Cs1 0.0000 0.0000 0.0000
Fe1 0.5000 0.5000 0.5000
P1 0.0000 0.0000 0.5000


Question: Look up the D(E_F) of the third one.
Answer: 4.76 states/eV/cell


Question: Which formula does entry 2 have?
Answer: CsFeOs


Question: Which formula does entry 8 have?
Answer: CsFeP3


Question: calculated density of number 3 (CsFe3Os)?
Answer: 7.99 g/cm³